(1)
Crystalline Ta2TlTe at its relaxed geometry. Source: the Alexandria database, functional PBE-GGA.

Cell: 3.4632 4.7223 5.1636 Å, 90.00 90.00 90.00°
Space group Pmmm (No. 47)
Unique sites:
Ta1 0.0000 0.0000 0.0000 x1
Ta2 0.5000 0.0000 0.5000 x1
Tl1 0.0000 0.5000 0.5000 x1
Te1 0.5000 0.5000 0.0000 x1

ΔE to the lowest computed polymorph: 442 meV/atom
energy relative to the elements, uncorrected: 14.099 kcal/mol of atoms
calculated volume: 84 Å³ per cell
density of states at the Fermi level: 2.74 states/eV/f.u.

***

(2)
Crystalline Sm12Hg6Rh at its relaxed geometry. Source: the Alexandria database, functional PBE-GGA.

Cell: 12.2667 12.2667 13.4407 Å, 90.00 90.00 120.00°
Space group R-3 (No. 148, hexagonal axes)
Unique sites:
Sm1 0.0337 0.8414 0.3765 x18
Sm2 0.0367 0.1891 0.8897 x18
Hg1 0.0062 0.3985 0.7570 x18
Rh1 0.0000 0.0000 0.5000 x3

ΔH_f (0 K): -5.12 eV/f.u.
calculated volume: 1752 Å³ per cell
density of states at the Fermi level: 23.45 states/eV/f.u.

***

(3)
Crystalline CePr2Sn at its relaxed geometry. Source: the Alexandria database, functional PBE-GGA.

Cell: 5.0032 5.0032 4.7844 Å, 90.00 90.00 90.00°
Space group P4/mmm (No. 123)
Unique sites:
Ce1 0.0000 0.0000 0.0000 x1
Pr1 0.0000 0.5000 0.5000 x2
Sn1 0.5000 0.5000 0.0000 x1

ΔE to the lowest computed polymorph: 0 meV/atom
ΔH_f (0 K): -1.62 eV/f.u.
calculated volume: 120 Å³ per cell
density of states at the Fermi level: 8.06 states/eV/f.u.

***

(4)
Crystalline BaFeNi3 at its relaxed geometry. Source: the Alexandria database, functional PBE-GGA.

Cell: 4.5754 4.5754 4.5754 Å, 90.00 90.00 90.00°
Space group Pm-3m (No. 221)
Unique sites:
Ba1 0.0000 0.0000 0.0000 x1
Fe1 0.5000 0.5000 0.5000 x1
Ni1 0.0000 0.5000 0.5000 x3

ΔE to the lowest computed polymorph: 0 meV/atom
ΔH_f (0 K): 2.46 eV/f.u.
calculated volume: 96 Å³ per cell
density of states at the Fermi level: 5.17 states/eV/f.u.

***

(5)
Crystalline PuPaTiTc at its relaxed geometry. Source: the Alexandria database, functional PBE-GGA.

Cell: 6.7344 6.7344 6.7344 Å, 90.00 90.00 90.00°
Space group F-43m (No. 216)
Unique sites:
Pu1 0.0000 0.0000 0.0000 x4
Pa1 0.2500 0.2500 0.7500 x4
Ti1 0.2500 0.2500 0.2500 x4
Tc1 0.0000 0.0000 0.5000 x4

ΔH_f (0 K): -0.18 eV/f.u.
calculated volume: 305 Å³ per cell
density of states at the Fermi level: 10.13 states/eV/f.u.

***

(6)
Crystalline ScSbTeO6 at its relaxed geometry. Source: the Alexandria database, functional PBE-GGA.

Cell: 5.3859 5.3859 9.6206 Å, 90.00 90.00 120.00°
Space group P-31c (No. 163)
Unique sites:
Sc1 0.3333 0.6667 0.2500 x2
Sb1 0.0000 0.0000 0.0000 x2
Te1 0.3333 0.6667 0.7500 x2
O1 0.0227 0.3708 0.6371 x12

energy relative to the elements, uncorrected: -40.019 kcal/mol of atoms
calculated volume: 242 Å³ per cell

***

(7)
Crystalline TlNiAg at its relaxed geometry. Source: the Alexandria database, functional PBE-GGA.

Cell: 10.5506 3.2567 3.2573 Å, 90.00 107.53 90.00°
Space group Cm (No. 8)
Unique sites:
Tl1 0.0000 0.0000 0.0000 x2
Ni1 0.1508 0.5000 0.6502 x2
Ag1 0.3012 0.0000 0.2993 x2

ΔE to the lowest computed polymorph: 14 meV/atom
ΔH_f (0 K): 0.92 eV/f.u.
calculated volume: 107 Å³ per cell
density of states at the Fermi level: 2.07 states/eV/f.u.

***

(8)
Crystalline HfV2SiAs at its relaxed geometry. Source: the Alexandria database, functional PBE-GGA.

Cell: 4.7769 4.7769 4.8977 Å, 90.00 90.00 90.00°
Space group P4/mmm (No. 123)
Unique sites:
Hf1 0.0000 0.0000 0.0000 x1
V1 0.0000 0.5000 0.0000 x2
Si1 0.0000 0.0000 0.5000 x1
As1 0.5000 0.5000 0.5000 x1

energy relative to the elements, uncorrected: 34.539 kcal/mol of atoms
calculated volume: 112 Å³ per cell
density of states at the Fermi level: 6.99 states/eV/f.u.

***

(9)
Crystalline Cs2SIF6 at its relaxed geometry. Source: the Alexandria database, functional PBE-GGA.

Cell: 7.0379 7.0379 9.7524 Å, 90.00 90.00 90.00°
Space group I4/mmm (No. 139)
Unique sites:
Cs1 0.0000 0.5000 0.2500 x4
S1 0.0000 0.0000 0.0000 x2
I1 0.0000 0.0000 0.5000 x2
F1 0.0000 0.0000 0.1862 x4
F2 0.1823 0.1823 0.0000 x8

energy relative to the elements, uncorrected: -41.501 kcal/mol of atoms
calculated volume: 483 Å³ per cell
density of states at the Fermi level: 7.68 states/eV/f.u.

***

(10)
Crystalline NaPmEuSn at its relaxed geometry. Source: the Alexandria database, functional PBE-GGA.

Cell: 7.8427 7.8427 7.8427 Å, 90.00 90.00 90.00°
Space group F-43m (No. 216)
Unique sites:
Na1 0.0000 0.0000 0.0000 x4
Pm1 0.2500 0.2500 0.2500 x4
Eu1 0.2500 0.2500 0.7500 x4
Sn1 0.0000 0.0000 0.5000 x4

ΔH_f (0 K): -1.36 eV/f.u.
calculated volume: 482 Å³ per cell
density of states at the Fermi level: 10.46 states/eV/f.u.

***

(11)
Crystalline Ba2Ag4HgSb3 at its relaxed geometry. Source: the Alexandria database, functional PBE-GGA.

Cell: 4.8742 4.8742 11.6635 Å, 90.00 90.00 90.00°
Space group P-4m2 (No. 115)
Unique sites:
Ba1 0.0000 0.5000 0.2432 x2
Ag1 0.0000 0.0000 0.0000 x1
Ag2 0.0000 0.5000 0.6319 x2
Ag3 0.5000 0.5000 0.0000 x1
Hg1 0.0000 0.0000 0.5000 x1
Sb1 0.0000 0.5000 0.8673 x2
Sb2 0.5000 0.5000 0.5000 x1

energy relative to the elements, uncorrected: -10.596 kcal/mol of atoms
calculated volume: 277 Å³ per cell
density of states at the Fermi level: 4.55 states/eV/f.u.

***

(12)
Crystalline KCa2Cr at its relaxed geometry. Source: the Alexandria database, functional PBE-GGA.

Cell: 4.0120 6.4207 12.3092 Å, 90.00 90.00 90.00°
Space group Immm (No. 71)
Unique sites:
K1 0.0000 0.0000 0.0000 x2
Ca1 0.0000 0.5000 0.2076 x4
Cr1 0.0000 0.0000 0.5000 x2

ΔE to the lowest computed polymorph: 139 meV/atom
ΔH_f (0 K): 2.27 eV/f.u.
calculated volume: 317 Å³ per cell
density of states at the Fermi level: 3.23 states/eV/f.u.

***

Results for total moment: 0.00; 0.00; 0.71; 4.51; 24.63; 0.00; 0.00; 2.97; 0.00; 30.62; 0.00; 9.59 (in Bohr magnetons per cell, following the order of the records).